i) ! BaSn3Ge, relaxed, DFT PBE; values from VASP
&SYSTEM
  ibrav = 0, nat = 20, ntyp = 3
/
ATOMIC_SPECIES
Ba 137.33 Ba.upf
Sn 118.71 Sn.upf
Ge 72.64 Ge.upf
ATOMIC_POSITIONS angstrom
Ba 2.136 1.225 0.257
Ba 3.404 3.675 5.927
Ba 7.677 1.225 5.413
Ba 8.945 3.675 11.083
Sn 0.687 1.225 4.864
Sn 0.989 3.675 2.924
Sn 1.251 3.675 9.092
Sn 4.289 1.225 3.422
Sn 4.551 1.225 8.594
Sn 4.854 3.675 10.534
Sn 6.227 1.225 0.806
Sn 6.530 3.675 2.746
Sn 6.792 3.675 7.918
Sn 9.830 1.225 2.248
Sn 10.092 1.225 8.416
Sn 10.394 3.675 6.476
Ge 1.846 1.225 7.725
Ge 3.694 3.675 2.055
Ge 7.387 1.225 9.285
Ge 9.235 3.675 3.615
CELL_PARAMETERS angstrom
11.081 0.000 0.000
0.000 4.900 0.000
0.000 0.000 11.340
! N(E_F) = 10.07 states/eV per cell
! magnetic moment = 0.000 μB per atom

ii) ! BaSn3Ge, relaxed, DFT PBE; values from VASP
&SYSTEM
  ibrav = 0, nat = 5, ntyp = 3
/
ATOMIC_SPECIES
Ba 137.33 Ba.upf
Sn 118.71 Sn.upf
Ge 72.64 Ge.upf
ATOMIC_POSITIONS angstrom
Ba 0.000 0.000 0.000
Sn 0.000 0.000 3.074
Sn 0.000 3.074 0.000
Sn 3.074 0.000 0.000
Ge 3.074 3.074 3.074
CELL_PARAMETERS angstrom
6.148 0.000 0.000
0.000 6.148 0.000
0.000 0.000 6.148
! N(E_F) = 10.60 states/eV per cell
! magnetic moment = 0.000 μB per atom

It turns out i) is the most stable, with the second structure 1.482 eV/atom higher.

i) ! BaSnGe3, relaxed, DFT PBE; values from VASP
&SYSTEM
  ibrav = 0, nat = 5, ntyp = 3
/
ATOMIC_SPECIES
Ba 137.33 Ba.upf
Sn 118.71 Sn.upf
Ge 72.64 Ge.upf
ATOMIC_POSITIONS angstrom
Ba 0.000 0.000 0.000
Sn 2.697 2.697 2.697
Ge 0.000 2.697 2.697
Ge 2.697 0.000 2.697
Ge 2.697 2.697 0.000
CELL_PARAMETERS angstrom
5.393 0.000 0.000
0.000 5.393 0.000
0.000 0.000 5.393
! N(E_F) = 3.87 states/eV per cell
! magnetic moment = 0.000 μB per atom

ii) ! BaSnGe3, relaxed, DFT PBE; values from VASP
&SYSTEM
  ibrav = 0, nat = 5, ntyp = 3
/
ATOMIC_SPECIES
Ba 137.33 Ba.upf
Sn 118.71 Sn.upf
Ge 72.64 Ge.upf
ATOMIC_POSITIONS angstrom
Ba 0.000 0.000 0.000
Sn 2.871 2.871 2.871
Ge 0.000 0.000 2.871
Ge 0.000 2.871 0.000
Ge 2.871 0.000 0.000
CELL_PARAMETERS angstrom
5.742 0.000 0.000
0.000 5.742 0.000
0.000 0.000 5.742
! N(E_F) = 7.33 states/eV per cell
! magnetic moment = 0.000 μB per atom

It turns out i) is the most stable, with the second structure 0.985 eV/atom higher.

i) ! Ba3SnGe, relaxed, DFT PBE; values from VASP
&SYSTEM
  ibrav = 0, nat = 5, ntyp = 3
/
ATOMIC_SPECIES
Ba 137.33 Ba.upf
Sn 118.71 Sn.upf
Ge 72.64 Ge.upf
ATOMIC_POSITIONS angstrom
Ba 0.000 0.000 3.142
Ba 0.000 3.142 0.000
Ba 3.142 0.000 0.000
Sn 3.142 3.142 3.142
Ge 0.000 0.000 0.000
CELL_PARAMETERS angstrom
6.285 0.000 0.000
0.000 6.285 0.000
0.000 0.000 6.285
! N(E_F) = 14.57 states/eV per cell
! magnetic moment = 0.249 μB per atom

ii) ! Ba3SnGe, relaxed, DFT PBE; values from VASP
&SYSTEM
  ibrav = 0, nat = 10, ntyp = 3
/
ATOMIC_SPECIES
Ba 137.33 Ba.upf
Sn 118.71 Sn.upf
Ge 72.64 Ge.upf
ATOMIC_POSITIONS angstrom
Ba 0.000 0.000 0.000
Ba 2.231 0.000 6.186
Ba 6.300 0.000 7.621
Ba 9.519 0.000 3.802
Ba 13.784 0.000 0.150
Ba 15.242 0.000 3.661
Sn 2.554 0.000 2.669
Sn 6.970 0.000 1.138
Ge 9.708 0.000 7.459
Ge 18.317 0.000 6.334
CELL_PARAMETERS angstrom
9.751 -2.151 0.000
9.751 2.151 0.000
-0.976 0.000 9.999
! N(E_F) = 3.71 states/eV per cell
! magnetic moment = 0.090 μB per atom

It turns out ii) is the most stable, with the second structure 0.294 eV/atom higher.